Here is a relaxed CdCuBW crystal from the Open Quantum Materials Database. Energies are from PBE.

Cell lengths 6.174, 6.174, 6.174 Å; angles 90.00, 90.00, 90.00 degrees
Atoms (fractional coordinates):
Cd  0.000  0.000  0.000
Cd  0.000  0.500  0.500
Cd  0.500  0.000  0.500
Cd  0.500  0.500  0.000
Cu  0.000  0.000  0.500
Cu  0.000  0.500  0.000
Cu  0.500  0.000  0.000
Cu  0.500  0.500  0.500
B  0.250  0.250  0.250
B  0.250  0.750  0.750
B  0.750  0.250  0.750
B  0.750  0.750  0.250
W  0.250  0.250  0.750
W  0.250  0.750  0.250
W  0.750  0.250  0.250
W  0.750  0.750  0.750

The calculation puts the offset from the most stable computed form at 401 meV per atom. Its space-group type is F-43m, No. 216. The value obtained for the total energy is -71.4 eV per cell. Its volume is 14.71 Å³ per atom. The crystal system is cubic.